The following is a PBE calculation of a geometry-optimized LaPuInAu structure, from Alexandria via LeMat-Bulk.

```
LaPuInAu
1.0
0.000 3.810 3.810
3.810 0.000 3.810
3.810 3.810 0.000
La Pu In Au
1 1 1 1
Cartesian
0.000 0.000 0.000
3.810 3.810 3.810
1.905 1.905 1.905
5.715 5.715 5.715
```

Values from the calculation:
- Energy of formation: -0.368 eV per atom